Compound: ScOs2Rh
Source: Alexandria via LeMat-Bulk
Functional: PBE
Structure: optimized geometry

Cell: 5.741 5.741 5.741 Å, 151.59 134.88 54.18°
Element x y z (fractional)
Sc 0.000 0.000 0.000
Os 0.278 0.778 0.500
Os 0.722 0.222 0.500
Rh 0.500 0.500 0.000

Computed properties:
total magnetization = 0.00 μB/f.u.
SG = Immm (71)
electronic total energy = -9.10 eV/atom
ΔH_f (0 K) = -0.06 eV/atom